The following is a DFT calculation (PBE+U) of crystalline AcFeTcO6 at its relaxed geometry.

abc: 5.2653 5.2653 5.3286
angles: 90.00 90.00 120.00
Space group P312 (No. 149)
One atom of each set of equivalent atoms:
Ac: 0.0000 0.0000 0.0000 x1
Fe: 0.3333 0.6667 0.5000 x1
Tc: 0.6667 0.3333 0.5000 x1
O: 0.3846 0.0122 0.7067 x6

Calculated total energy, eV per atom: -7.513